No. 1
Crystalline DyErMgPd at its relaxed geometry, computed with PBE.

Total moment: 0.00 μB/cell
Raw total energy: -4.397 eV/atom
N(E_F): 9.827 states/eV/cell
Offset from the most stable computed form: 0.080 eV/atom
Calculated formation energy: -0.409 eV/atom

a = 7.2231 Å, b = 7.2231 Å, c = 7.2231 Å
α = 90.00°, β = 90.00°, γ = 90.00°
Space group F-43m (No. 216)
Unique sites:
Dy  0.0000  0.0000  0.0000
Er  0.0000  0.0000  0.5000
Mg  0.2500  0.2500  0.7500
Pd  0.2500  0.2500  0.2500



No. 2
Crystalline Sr5Ce at its relaxed geometry, computed with PBE.

Total moment: 3.45 μB/cell
Raw total energy: -2.208 eV/atom
N(E_F): 27.390 states/eV/cell
Calculated formation energy: 0.183 eV/atom

a = 6.6398 Å, b = 19.9363 Å, c = 4.4975 Å
α = 90.00°, β = 90.00°, γ = 90.00°
Space group Cmmm (No. 65)
Unique sites:
Sr  0.0000  0.0000  0.0000
Sr  0.0000  0.1681  0.5000
Sr  0.0000  0.3425  0.0000
Ce  0.0000  0.5000  0.5000



No. 3
Crystalline Pa2Co3 at its relaxed geometry, computed with PBE.

Total moment: 0.01 μB/cell
Raw total energy: -8.395 eV/atom
N(E_F): 10.781 states/eV/cell
Offset from the most stable computed form: 0.000 eV/atom
Calculated formation energy: -0.333 eV/atom

a = 4.3371 Å, b = 5.1435 Å, c = 7.3304 Å
α = 90.00°, β = 90.00°, γ = 90.00°
Space group Immm (No. 71)
Unique sites:
Pa  0.0000  0.0000  0.1951
Co  0.0000  0.2464  0.5000
Co  0.0000  0.5000  0.0000



No. 4
Crystalline TbErCdSi at its relaxed geometry, computed with PBE.

Raw formation energy: -0.380 eV per atom
Total moment: 0.00 μB/cell
Raw total energy: -4.262 eV/atom
N(E_F): 10.594 states/eV/cell

a = 7.1955 Å, b = 7.1955 Å, c = 7.1955 Å
α = 90.00°, β = 90.00°, γ = 90.00°
Space group F-43m (No. 216)
Unique sites:
Tb  0.0000  0.0000  0.0000
Er  0.0000  0.0000  0.5000
Cd  0.2500  0.2500  0.7500
Si  0.2500  0.2500  0.2500



No. 5
Crystalline VSn3Ge at its relaxed geometry, computed with PBE.

Total moment: 3.66 μB/cell
Raw total energy: -4.166 eV/atom
N(E_F): 10.043 states/eV/cell
Offset from the most stable computed form: 0.494 eV/atom
Calculated formation energy: 0.983 eV/atom

a = 5.3107 Å, b = 5.3107 Å, c = 5.3107 Å
α = 90.00°, β = 90.00°, γ = 90.00°
Space group Pm-3m (No. 221)
Unique sites:
V  0.0000  0.0000  0.0000
Sn  0.0000  0.5000  0.5000
Ge  0.5000  0.5000  0.5000



No. 6
Crystalline RbS2Cl2 at its relaxed geometry, computed with PBE.

Raw formation energy: -0.297 eV per atom
Total moment: 1.45 μB/cell
Raw total energy: -2.880 eV/atom
N(E_F): 5.918 states/eV/cell
Offset from the most stable computed form: 0.280 eV/atom

a = 3.4150 Å, b = 3.4150 Å, c = 23.6066 Å
α = 90.00°, β = 90.00°, γ = 90.00°
Space group I4/mmm (No. 139)
Unique sites:
Rb  0.0000  0.0000  0.0000
S  0.0000  0.5000  0.2500
Cl  0.0000  0.0000  0.4079



No. 7
Crystalline CaFe2 at its relaxed geometry, computed with PBE.

Total moment: 18.66 μB/cell
Raw total energy: -6.001 eV/atom
N(E_F): 8.390 states/eV/cell
Calculated formation energy: 0.308 eV/atom

a = 3.8321 Å, b = 15.6526 Å, c = 4.0062 Å
α = 90.00°, β = 90.00°, γ = 90.00°
Space group Cmcm (No. 63)
Unique sites:
Ca  0.0000  0.0974  0.2500
Fe  0.0000  0.2508  0.7500
Fe  0.0000  0.3377  0.2500



No. 8
Crystalline RbBePdF6 at its relaxed geometry, computed with PBE.

Raw formation energy: -2.268 eV per atom
Total moment: 0.91 μB/cell
Raw total energy: -4.614 eV/atom

a = 4.8655 Å, b = 5.4944 Å, c = 6.2144 Å
α = 88.48°, β = 86.45°, γ = 63.77°
Space group P1 (No. 1)
Unique sites:
Rb  0.0000  0.0000  0.0000
Be  0.5658  0.8697  0.4999
Pd  0.2845  0.4320  0.5000
F  0.0530  0.4417  0.7696
F  0.2946  0.0732  0.3604
F  0.4256  0.7071  0.6393
F  0.5062  0.4420  0.2303
F  0.6336  0.0743  0.6388
F  0.8692  0.7064  0.3609



No. 9
Crystalline SiSb2Cl at its relaxed geometry, computed with PBE.

Raw formation energy: 0.223 eV per atom
Total moment: 0.00 μB/cell
Raw total energy: -3.656 eV/atom
N(E_F): 7.738 states/eV/cell
Offset from the most stable computed form: 0.189 eV/atom

a = 7.0650 Å, b = 7.0650 Å, c = 7.0650 Å
α = 90.00°, β = 90.00°, γ = 90.00°
Space group Fm-3m (No. 225)
Unique sites:
Si  0.0000  0.0000  0.0000
Sb  0.2500  0.2500  0.2500
Cl  0.0000  0.0000  0.5000



No. 10
Crystalline RbRu2Pt at its relaxed geometry, computed with PBE.

Total moment: 7.75 μB/cell
Raw total energy: -5.267 eV/atom
N(E_F): 20.974 states/eV/cell
Offset from the most stable computed form: 0.000 eV/atom
Calculated formation energy: 1.123 eV/atom

a = 4.8104 Å, b = 4.8104 Å, c = 18.4060 Å
α = 90.00°, β = 90.00°, γ = 90.00°
Space group I-42d (No. 122)
Unique sites:
Rb  0.0000  0.0000  0.0000
Ru  0.0026  0.2500  0.6250
Pt  0.0000  0.0000  0.5000



No. 11
Crystalline CsMgP at its relaxed geometry, computed with PBE.

Total moment: 0.00 μB/cell
Raw total energy: -3.086 eV/atom
N(E_F): 0.000 states/eV/cell
Calculated formation energy: -0.466 eV/atom

a = 8.4743 Å, b = 4.5116 Å, c = 11.3236 Å
α = 90.00°, β = 90.00°, γ = 90.00°
Space group Pnma (No. 62)
Unique sites:
Cs  0.0066  0.2500  0.1794
Mg  0.1063  0.2500  0.5079
P  0.1907  0.7500  0.4344



No. 12
Crystalline Sr3As2Rh3 at its relaxed geometry, computed with PBE.

Total moment: 0.00 μB/cell
Raw total energy: -5.280 eV/atom
N(E_F): 12.822 states/eV/cell
Calculated formation energy: -0.730 eV/atom

a = 8.0360 Å, b = 15.2784 Å, c = 6.0055 Å
α = 90.00°, β = 90.00°, γ = 90.00°
Space group Pnma (No. 62)
Unique sites:
Sr  0.0172  0.1079  0.1330
Sr  0.1616  0.2500  0.5958
As  0.1413  0.5970  0.3733
Rh  0.1465  0.0380  0.6085
Rh  0.1846  0.7500  0.5390



> What is the total moment in the seventh record?

18.66 μB/cell



> Which value of total moment does entry 3 give?

0.01 μB/cell



> The lowest raw total energy belongs to which entry?

Pa2Co3